w.
The following is a DFT calculation (GGA-PBE) of a geometry-optimized AlFe2S4 structure.

## Properties
Calculated density, g cm⁻³: 4.00
Space-group type: P4_122 (91)

abc: 6.804 6.804 9.587
angles: 90.00 90.00 90.00
Each line ends with the local moment (μB).
Atoms (fractional coordinates):
S  0.750  0.474  0.013  0.01
S  0.750  0.526  0.487  0.01
S  0.474  0.750  0.737  0.01
S  0.972  0.750  0.263  0.01
S  0.028  0.750  0.737  0.01
S  0.250  0.474  0.987  0.01
S  0.028  0.250  0.763  0.01
S  0.474  0.250  0.763  0.01
S  0.250  0.526  0.513  0.01
S  0.750  0.028  0.013  0.01
S  0.250  0.028  0.987  0.01
S  0.526  0.250  0.237  0.01
S  0.250  0.972  0.513  0.01
S  0.750  0.972  0.487  0.01
S  0.972  0.250  0.237  0.01
S  0.526  0.750  0.263  0.01
Fe  0.000  0.251  0.000  0.50
Fe  0.749  0.500  0.250  0.47
Fe  0.500  0.251  0.000  0.50
Fe  0.749  0.000  0.250  0.47
Fe  0.251  0.000  0.750  0.45
Fe  0.000  0.749  0.500  0.48
Fe  0.251  0.500  0.750  0.49
Fe  0.500  0.749  0.500  0.52
Al  0.249  0.751  0.125  0.00
Al  0.751  0.751  0.875  0.00
Al  0.751  0.249  0.625  0.00
Al  0.249  0.249  0.375  0.00


x.
The following is a DFT calculation (GGA-PBE) of a geometry-optimized AlFe2S4 structure.

## Properties
Calculated density, g cm⁻³: 3.81
Space-group type: P4_122 (91)

abc: 6.916 6.916 9.721
angles: 90.00 90.00 90.00
Each line ends with the local moment (μB).
Atoms (fractional coordinates):
Al  0.000  0.253  0.500  0.02
Al  0.000  0.747  0.000  0.02
Al  0.747  0.000  0.750  0.02
Al  0.253  0.000  0.250  0.02
Fe  0.748  0.748  0.375  3.15
Fe  0.500  0.259  0.500  1.16
Fe  0.259  0.500  0.250  1.22
Fe  0.500  0.741  0.000  1.18
Fe  0.252  0.748  0.625  3.12
Fe  0.741  0.500  0.750  1.18
Fe  0.748  0.252  0.125  3.09
Fe  0.252  0.252  0.875  3.15
S  0.024  0.739  0.247  0.07
S  0.259  0.485  0.487  0.06
S  0.485  0.741  0.237  0.05
S  0.259  0.515  0.013  0.06
S  0.976  0.739  0.753  0.07
S  0.515  0.741  0.763  0.05
S  0.741  0.515  0.987  0.06
S  0.261  0.024  0.497  0.07
S  0.976  0.261  0.747  0.07
S  0.515  0.259  0.737  0.05
S  0.024  0.261  0.253  0.07
S  0.485  0.259  0.263  0.05
S  0.739  0.024  0.503  0.07
S  0.739  0.976  0.997  0.07
S  0.261  0.976  0.003  0.07
S  0.741  0.485  0.513  0.06


In order of decreasing stability: x, w.


w.
The following is a DFT calculation (GGA-PBE) of a geometry-optimized YAlFeTc structure.

## Properties
Calculated density, g cm⁻³: 6.81
Space-group type: F-43m (216)

abc: 4.531 4.531 4.531
angles: 60.00 60.00 60.00
Atoms (fractional coordinates):
Y  0.500  0.500  0.500
Al  0.000  0.000  0.000
Fe  0.750  0.750  0.750
Tc  0.250  0.250  0.250


x.
The following is a DFT calculation (GGA-PBE) of a geometry-optimized YAlFeTc structure.

## Properties
Calculated density, g cm⁻³: 6.50
Space-group type: F-43m (216)

abc: 4.602 4.602 4.602
angles: 60.00 60.00 60.00
Atoms (fractional coordinates):
Fe  0.750  0.750  0.750
Tc  0.500  0.500  0.500
Al  0.000  0.000  0.000
Y  0.250  0.250  0.250


In order of decreasing stability: w, x.


w.
The following is a DFT calculation (GGA-PBE) of a geometry-optimized AlZnFe structure.

## Properties
Calculated density, g cm⁻³: 5.14
Space-group type: F-43m (216)

abc: 4.076 4.076 4.076
angles: 60.00 60.00 60.00
Atoms (fractional coordinates):
Fe  0.250  0.250  0.250
Al  0.000  0.000  0.000
Zn  0.750  0.750  0.750


x.
The following is a DFT calculation (GGA-PBE) of a geometry-optimized AlZnFe structure.

## Properties
Calculated density, g cm⁻³: 5.42
Space-group type: F-43m (216)

abc: 4.004 4.004 4.004
angles: 60.00 60.00 60.00
Atoms (fractional coordinates):
Fe  0.000  0.000  0.000
Al  0.250  0.250  0.250
Zn  0.750  0.750  0.750


In order of decreasing stability: x, w.


w.
The following is a DFT calculation (GGA-PBE) of a geometry-optimized ZrAlZnFe structure.

## Properties
Calculated density, g cm⁻³: 6.36
Space-group type: F-43m (216)

abc: 4.456 4.456 4.456
angles: 60.00 60.00 60.00
Atoms (fractional coordinates):
Zr  0.250  0.250  0.250
Zn  0.500  0.500  0.500
Fe  0.750  0.750  0.750
Al  0.000  0.000  0.000


x.
The following is a DFT calculation (GGA-PBE) of a geometry-optimized ZrAlZnFe structure.

## Properties
Calculated density, g cm⁻³: 6.47
Space-group type: F-43m (216)

abc: 4.429 4.429 4.429
angles: 60.00 60.00 60.00
Atoms (fractional coordinates):
Zr  0.500  0.500  0.500
Zn  0.250  0.250  0.250
Fe  0.750  0.750  0.750
Al  0.000  0.000  0.000


In order of decreasing stability: x, w.


w.
The following is a DFT calculation (GGA-PBE) of a geometry-optimized GdAlGa3Ni structure.

## Properties
Calculated density, g cm⁻³: 7.25
Space-group type: Cmcm (63)

abc: 7.968 7.968 6.534
angles: 90.00 90.00 150.07
Atoms (fractional coordinates):
Ga  0.815  0.185  0.051
Ga  0.185  0.815  0.551
Ga  0.815  0.185  0.449
Ga  0.185  0.815  0.949
Ga  0.571  0.429  0.750
Ga  0.429  0.571  0.250
Ni  0.724  0.276  0.750
Ni  0.276  0.724  0.250
Gd  0.381  0.619  0.750
Gd  0.619  0.381  0.250
Al  0.000  0.000  0.500
Al  0.000  0.000  0.000


x.
The following is a DFT calculation (GGA-PBE) of a geometry-optimized GdAlGa3Ni structure.

## Properties
Calculated density, g cm⁻³: 7.25
Space-group type: Cmcm (63)

abc: 7.981 7.981 6.566
angles: 90.00 90.00 150.32
Atoms (fractional coordinates):
Al  0.574  0.426  0.750
Al  0.426  0.574  0.250
Ga  0.000  0.000  0.500
Ga  0.186  0.814  0.949
Ga  0.814  0.186  0.051
Ga  0.186  0.814  0.551
Ga  0.000  0.000  0.000
Ga  0.814  0.186  0.449
Ni  0.275  0.725  0.250
Ni  0.725  0.275  0.750
Gd  0.618  0.382  0.250
Gd  0.382  0.618  0.750


In order of decreasing stability: x, w.


w.
The following is a DFT calculation (GGA-PBE) of a geometry-optimized GdAl3GaNi structure.

## Properties
Calculated density, g cm⁻³: 5.83
Space-group type: Cmcm (63)

abc: 7.998 7.998 6.635
angles: 90.00 90.00 150.54
Atoms (fractional coordinates):
Gd  0.385  0.615  0.750
Gd  0.615  0.385  0.250
Ga  0.000  0.000  0.000
Ga  0.000  0.000  0.500
Al  0.190  0.810  0.947
Al  0.577  0.423  0.750
Al  0.810  0.190  0.053
Al  0.810  0.190  0.447
Al  0.190  0.810  0.553
Al  0.423  0.577  0.250
Ni  0.726  0.274  0.750
Ni  0.274  0.726  0.250


x.
The following is a DFT calculation (GGA-PBE) of a geometry-optimized GdAl3GaNi structure.

## Properties
Calculated density, g cm⁻³: 5.83
Space-group type: Cmcm (63)

abc: 7.997 7.997 6.604
angles: 90.00 90.00 150.34
Atoms (fractional coordinates):
Gd  0.884  0.116  0.250
Gd  0.116  0.884  0.750
Al  0.689  0.311  0.052
Al  0.500  0.500  0.500
Al  0.311  0.689  0.552
Al  0.500  0.500  0.000
Al  0.311  0.689  0.948
Al  0.689  0.311  0.448
Ga  0.927  0.073  0.750
Ga  0.073  0.927  0.250
Ni  0.775  0.225  0.750
Ni  0.225  0.775  0.250


In order of decreasing stability: w, x.


w.
The following is a DFT calculation (GGA-PBE) of a geometry-optimized GdAl2Ga2Ni structure.

## Properties
Calculated density, g cm⁻³: 6.54
Space-group type: Cmcm (63)

abc: 7.998 7.998 6.535
angles: 90.00 90.00 150.19
Atoms (fractional coordinates):
Ni  0.725  0.275  0.250
Ni  0.275  0.725  0.750
Al  0.000  0.000  0.500
Al  0.000  0.000  0.000
Al  0.574  0.426  0.250
Al  0.426  0.574  0.750
Gd  0.620  0.380  0.750
Gd  0.380  0.620  0.250
Ga  0.815  0.185  0.551
Ga  0.185  0.815  0.051
Ga  0.185  0.815  0.449
Ga  0.815  0.185  0.949


x.
The following is a DFT calculation (GGA-PBE) of a geometry-optimized GdAl2Ga2Ni structure.

## Properties
Calculated density, g cm⁻³: 6.51
Space-group type: Cmcm (63)

abc: 7.950 7.950 6.652
angles: 90.00 90.00 150.23
Atoms (fractional coordinates):
Ni  0.275  0.725  0.750
Ni  0.725  0.275  0.250
Gd  0.384  0.616  0.250
Gd  0.616  0.384  0.750
Al  0.189  0.811  0.447
Al  0.189  0.811  0.053
Al  0.811  0.189  0.947
Al  0.811  0.189  0.553
Ga  0.000  0.000  0.500
Ga  0.426  0.574  0.750
Ga  0.574  0.426  0.250
Ga  0.000  0.000  0.000


In order of decreasing stability: x, w.


w.
The following is a DFT calculation (GGA-PBE) of a geometry-optimized HoAl3GaNi structure.

## Properties
Calculated density, g cm⁻³: 6.05
Space-group type: Cmcm (63)

abc: 7.897 7.897 6.652
angles: 90.00 90.00 150.30
Atoms (fractional coordinates):
Al  0.689  0.311  0.553
Al  0.311  0.689  0.447
Al  0.311  0.689  0.053
Al  0.689  0.311  0.947
Al  0.925  0.075  0.250
Al  0.075  0.925  0.750
Ni  0.227  0.773  0.750
Ni  0.773  0.227  0.250
Ga  0.500  0.500  0.000
Ga  0.500  0.500  0.500
Ho  0.883  0.117  0.750
Ho  0.117  0.883  0.250


x.
The following is a DFT calculation (GGA-PBE) of a geometry-optimized HoAl3GaNi structure.

## Properties
Calculated density, g cm⁻³: 6.04
Space-group type: Cmcm (63)

abc: 7.908 7.908 6.636
angles: 90.00 90.00 150.28
Atoms (fractional coordinates):
Ga  0.572  0.428  0.750
Ga  0.428  0.572  0.250
Al  0.188  0.812  0.552
Al  0.188  0.812  0.948
Al  0.812  0.188  0.448
Al  0.000  0.000  0.000
Al  0.000  0.000  0.500
Al  0.812  0.188  0.052
Ho  0.619  0.381  0.250
Ho  0.381  0.619  0.750
Ni  0.725  0.275  0.750
Ni  0.275  0.725  0.250


In order of decreasing stability: w, x.


w.
The following is a DFT calculation (GGA-PBE) of a geometry-optimized SrAl3GaIr structure.

## Properties
Calculated density, g cm⁻³: 5.95
Space-group type: Pmma (51)

abc: 8.022 4.111 7.283
angles: 90.00 90.00 90.00
Atoms (fractional coordinates):
Ir  0.250  0.000  0.185
Ir  0.750  0.000  0.815
Al  0.750  0.500  0.046
Al  0.930  0.500  0.704
Al  0.070  0.500  0.296
Al  0.250  0.500  0.954
Al  0.430  0.500  0.296
Al  0.570  0.500  0.704
Sr  0.750  0.000  0.383
Sr  0.250  0.000  0.617
Ga  0.500  0.000  0.000
Ga  0.000  0.000  0.000


x.
The following is a DFT calculation (GGA-PBE) of a geometry-optimized SrAl3GaIr structure.

## Properties
Calculated density, g cm⁻³: 6.02
Space-group type: Pmma (51)

abc: 7.858 4.148 7.290
angles: 90.00 90.00 90.00
Atoms (fractional coordinates):
Ir  0.750  0.500  0.312
Ir  0.250  0.500  0.688
Al  0.572  0.000  0.209
Al  0.072  0.000  0.791
Al  0.928  0.000  0.209
Al  0.000  0.500  0.500
Al  0.500  0.500  0.500
Al  0.428  0.000  0.791
Ga  0.250  0.000  0.440
Ga  0.750  0.000  0.560
Sr  0.250  0.500  0.116
Sr  0.750  0.500  0.884


In order of decreasing stability: x, w.


w.
The following is a DFT calculation (GGA-PBE) of a geometry-optimized MgAlGaPd structure.

## Properties
Calculated density, g cm⁻³: 5.76
Space-group type: F-43m (216)

abc: 4.525 4.525 4.525
angles: 60.00 60.00 60.00
Atoms (fractional coordinates):
Al  0.250  0.250  0.250
Ga  0.000  0.000  0.000
Pd  0.500  0.500  0.500
Mg  0.750  0.750  0.750


x.
The following is a DFT calculation (GGA-PBE) of a geometry-optimized MgAlGaPd structure.

## Properties
Calculated density, g cm⁻³: 5.77
Space-group type: F-43m (216)

abc: 4.522 4.522 4.522
angles: 60.00 60.00 60.00
Atoms (fractional coordinates):
Mg  0.750  0.750  0.750
Ga  0.000  0.000  0.000
Pd  0.250  0.250  0.250
Al  0.500  0.500  0.500


In order of decreasing stability: w, x.


w.
The following is a DFT calculation (GGA-PBE) of a geometry-optimized TmNb2Al2Ga2 structure.

## Properties
Calculated density, g cm⁻³: 7.15
Space-group type: Fmmm (69)

abc: 6.780 5.550 5.522
angles: 75.51 52.43 52.06
Atoms (fractional coordinates):
Nb  0.250  0.250  0.250
Nb  0.750  0.750  0.750
Al  0.695  0.305  0.695
Al  0.305  0.695  0.305
Tm  0.000  0.000  0.000
Ga  0.304  0.304  0.696
Ga  0.696  0.696  0.304


x.
The following is a DFT calculation (GGA-PBE) of a geometry-optimized TmNb2Al2Ga2 structure.

## Properties
Calculated density, g cm⁻³: 7.14
Space-group type: Imm2 (44)

abc: 5.540 5.540 5.540
angles: 120.08 104.33 104.55
Atoms (fractional coordinates):
Al  0.000  0.695  0.305
Al  0.390  0.695  0.695
Tm  0.002  0.002  0.000
Nb  0.500  0.750  0.250
Nb  0.500  0.250  0.750
Ga  0.001  0.304  0.697
Ga  0.607  0.304  0.303


In order of decreasing stability: w, x.